Record 1
A relaxed structure of Y2Sc, computed with GGA-PBEsol.

a b c (Å): 4.7837 4.8578 7.6185
angles (deg): 90.00 108.30 90.00
Last column: nearest neighbours and their distance in Å.
Element x y z (fractional)
Y  0.4197  0.2500  0.8395  6 Sc 3.34-3.41, 6 Y 3.36-3.45
Y  0.2519  0.7500  0.5038  4 Sc 3.40-3.46, 8 Y 3.41-3.45
Y  0.7481  0.2500  0.4962  4 Sc 3.40-3.46, 8 Y 3.41-3.45
Y  0.5803  0.7500  0.1605  6 Sc 3.34-3.41, 6 Y 3.36-3.45
Sc  0.0813  0.2500  0.1627  10 Y 3.34-3.46, 2 Sc 3.38
Sc  0.9187  0.7500  0.8373  10 Y 3.34-3.46, 2 Sc 3.38

ΔE_f = 50 meV/atom
excess energy over the best structure of this formula in the dataset = 0.0271 eV per atom
calculated total energy = -40.20 eV per cell
V = 168.1 Å³/cell
space group = No. 63
magnetic moment = 0.0 μB/cell



Record 2
A relaxed structure of YSc, computed with GGA-PBEsol.

a b c (Å): 3.4324 6.3235 7.9796
angles (deg): 102.51 90.00 105.75
Last column: nearest neighbours and their distance in Å.
Element x y z (fractional)
Y  0.0481  0.0962  0.6105  6 Sc 3.24-3.41, 6 Y 3.41-3.47
Y  0.6725  0.3450  0.3343  5 Y 3.30-3.43, 7 Sc 3.32-3.48
Y  0.7228  0.4456  0.9450  7 Sc 3.25-3.42, 5 Y 3.30-3.47
Sc  0.9953  0.9907  0.0002  6 Sc 3.23-3.43, 6 Y 3.25-3.48
Sc  0.3342  0.6684  0.6706  7 Y 3.24-3.41, 5 Sc 3.37-3.43
Sc  0.3937  0.7875  0.2728  5 Sc 3.23-3.43, 7 Y 3.32-3.42

ΔE_f = 29 meV/atom
excess energy over the best structure of this formula in the dataset = 0.0053 eV per atom
calculated total energy = -40.11 eV per cell
V = 162.4 Å³/cell
space group = No. 8
magnetic moment = 0.0 μB/cell



Record 3
A relaxed structure of YSc5, computed with GGA-PBEsol.

a b c (Å): 4.6153 4.6138 7.2836
angles (deg): 71.53 90.00 90.00
Last column: nearest neighbours and their distance in Å.
Element x y z (fractional)
Sc  0.5000  0.1690  0.6619  10 Sc 3.20-3.28, 2 Y 3.28
Sc  0.0000  0.3299  0.3403  10 Sc 3.19-3.29, 2 Y 3.29
Sc  0.5000  0.5000  0.0000  4 Y 3.26, 8 Sc 3.28-3.29
Sc  0.0000  0.6701  0.6597  10 Sc 3.19-3.29, 2 Y 3.29
Sc  0.5000  0.8310  0.3381  10 Sc 3.20-3.28, 2 Y 3.28
Y  0.0000  0.0000  0.0000  12 Sc 3.26-3.29

ΔE_f = 56 meV/atom
excess energy over the best structure of this formula in the dataset = 0.0388 eV per atom
calculated total energy = -39.51 eV per cell
V = 147.1 Å³/cell
space group = No. 65
magnetic moment = 0.0 μB/cell



Record 4
A relaxed structure of YSc, computed with GGA-PBEsol.

a b c (Å): 3.4382 3.4382 5.3117
angles (deg): 90.00 90.00 120.00
Last column: nearest neighbours and their distance in Å.
Element x y z (fractional)
Sc  0.6667  0.3333  0.5000  6 Y 3.32, 6 Sc 3.44
Y  0.0000  0.0000  0.0000  6 Sc 3.32, 6 Y 3.44

ΔE_f = 47 meV/atom
excess energy over the best structure of this formula in the dataset = 0.0235 eV per atom
calculated total energy = -13.33 eV per cell
V = 54.4 Å³/cell
space group = No. 187
magnetic moment = 0.0 μB/cell



Record 5
A relaxed structure of Y5Sc4, computed with GGA-PBEsol.

a b c (Å): 4.7840 7.5466 7.5466
angles (deg): 84.23 71.52 71.52
Last column: nearest neighbours and their distance in Å.
Element x y z (fractional)
Sc  0.0000  0.6585  0.3415  5 Sc 3.21-3.30, 7 Y 3.35-3.46
Sc  0.0000  0.3415  0.6585  5 Sc 3.21-3.30, 7 Y 3.35-3.46
Sc  0.6585  0.3415  0.3415  5 Sc 3.21-3.30, 7 Y 3.35-3.46
Sc  0.3415  0.6585  0.6585  5 Sc 3.21-3.30, 7 Y 3.35-3.46
Y  0.3312  0.3376  0.0000  6 Y 3.34-3.42, 6 Sc 3.35-3.42
Y  0.6688  0.0000  0.6624  6 Y 3.34-3.42, 6 Sc 3.35-3.42
Y  0.3312  0.0000  0.3376  6 Y 3.34-3.42, 6 Sc 3.35-3.42
Y  0.6688  0.6624  0.0000  6 Y 3.34-3.42, 6 Sc 3.35-3.42
Y  0.0000  0.0000  0.0000  8 Y 3.40, 4 Sc 3.46

ΔE_f = 57 meV/atom
excess energy over the best structure of this formula in the dataset = 0.0000 eV per atom
calculated total energy = -60.02 eV per cell
V = 245.1 Å³/cell
space group = No. 139
magnetic moment = 0.0 μB/cell



Record 6
A relaxed structure of Y2Sc, computed with GGA-PBEsol.

a b c (Å): 3.4237 4.7883 5.9058
angles (deg): 113.92 106.85 90.00
Last column: nearest neighbours and their distance in Å.
Element x y z (fractional)
Sc  0.0000  0.0000  0.0000  10 Y 3.39-3.45, 2 Sc 3.42
Y  0.6635  0.6635  0.3270  7 Y 3.35-3.44, 5 Sc 3.39-3.45
Y  0.3365  0.3365  0.6730  7 Y 3.35-3.44, 5 Sc 3.39-3.45

ΔE_f = 51 meV/atom
excess energy over the best structure of this formula in the dataset = 0.0277 eV per atom
calculated total energy = -20.10 eV per cell
V = 83.9 Å³/cell
space group = No. 71
magnetic moment = 0.0 μB/cell



Record 7
A relaxed structure of Y3Sc4, computed with GGA-PBEsol.

a b c (Å): 3.6867 3.6867 14.0804
angles (deg): 97.52 97.52 90.00
Last column: nearest neighbours and their distance in Å.
Element x y z (fractional)
Sc  0.8674  0.8674  0.7347  4 Sc 3.06, 4 Y 3.29
Sc  0.5749  0.5749  0.1498  4 Sc 3.06, 4 Y 3.33
Sc  0.4251  0.4251  0.8502  4 Sc 3.06, 4 Y 3.33
Sc  0.1326  0.1326  0.2653  4 Sc 3.06, 4 Y 3.29
Y  0.7051  0.7051  0.4102  5 Sc 3.29-3.60, 4 Y 3.60
Y  0.2949  0.2949  0.5898  5 Sc 3.29-3.60, 4 Y 3.60
Y  0.0000  0.0000  0.0000  10 Sc 3.33-3.67, 4 Y 3.69

ΔE_f = 86 meV/atom
calculated total energy = -46.29 eV per cell
V = 188.1 Å³/cell
space group = No. 139
magnetic moment = 0.0 μB/cell



Record 8
A relaxed structure of Y3Sc, computed with GGA-PBEsol.

a b c (Å): 3.4476 5.9277 5.9277
angles (deg): 109.33 90.00 90.00
Last column: nearest neighbours and their distance in Å.
Element x y z (fractional)
Y  0.5000  0.0000  0.5000  8 Y 3.43-3.45, 4 Sc 3.43
Y  0.5000  0.5000  0.0000  8 Y 3.43-3.45, 4 Sc 3.43
Y  0.0000  0.5000  0.5000  2 Sc 3.43, 10 Y 3.43-3.45
Sc  0.0000  0.0000  0.0000  10 Y 3.43, 2 Sc 3.45

ΔE_f = 49 meV/atom
excess energy over the best structure of this formula in the dataset = 0.0319 eV per atom
calculated total energy = -26.87 eV per cell
V = 114.3 Å³/cell
space group = No. 65
magnetic moment = 0.0 μB/cell



Record 9
A relaxed structure of Y5Sc, computed with GGA-PBEsol.

a b c (Å): 3.5354 5.4970 9.3360
angles (deg): 90.00 100.91 90.00
Last column: nearest neighbours and their distance in Å.
Element x y z (fractional)
Y  0.3366  0.0000  0.6733  10 Y 3.42-3.63, 2 Sc 3.47
Y  0.5535  0.5000  0.1069  4 Sc 3.41, 8 Y 3.41-3.56
Y  0.2219  0.5000  0.4438  12 Y 3.44-3.57
Y  0.6639  0.0000  0.3279  10 Y 3.41-3.63, 2 Sc 3.49
Y  0.8910  0.5000  0.7821  2 Sc 3.39, 10 Y 3.42-3.57
Sc  0.9997  0.0000  0.9993  10 Y 3.39-3.49, 2 Sc 3.54

ΔE_f = 22 meV/atom
calculated total energy = -40.59 eV per cell
V = 178.2 Å³/cell
space group = No. 38
magnetic moment = 0.0 μB/cell



Record 10
A relaxed structure of Y4Sc3, computed with GGA-PBEsol.

a b c (Å): 3.4064 3.4064 16.6789
angles (deg): 95.86 95.86 90.00
Last column: nearest neighbours and their distance in Å.
Element x y z (fractional)
Sc  0.7182  0.7182  0.4365  8 Sc 3.19-3.41, 4 Y 3.35
Sc  0.2818  0.2818  0.5635  8 Sc 3.19-3.41, 4 Y 3.35
Sc  0.0000  0.0000  0.0000  8 Y 3.34, 4 Sc 3.41
Y  0.1476  0.1476  0.2952  4 Sc 3.35, 8 Y 3.41-3.51
Y  0.8524  0.8524  0.7048  4 Sc 3.35, 8 Y 3.41-3.51
Y  0.4297  0.4297  0.8594  4 Sc 3.34, 8 Y 3.41-3.51
Y  0.5703  0.5703  0.1406  4 Sc 3.34, 8 Y 3.41-3.51

ΔE_f = 54 meV/atom
calculated total energy = -46.72 eV per cell
V = 191.5 Å³/cell
space group = No. 139
magnetic moment = 0.0 μB/cell



Record 11
A relaxed structure of Y3Sc, computed with GGA-PBEsol.

a b c (Å): 5.4739 5.4739 5.4739
angles (deg): 60.00 60.00 60.00
Last column: nearest neighbours and their distance in Å.
Element x y z (fractional)
Sc  0.0000  0.0000  0.0000  8 Y 3.35
Y  0.5000  0.5000  0.5000  8 Y 3.35
Y  0.2500  0.2500  0.2500  4 Y 3.35, 4 Sc 3.35
Y  0.7500  0.7500  0.7500  4 Sc 3.35, 4 Y 3.35

ΔE_f = 136 meV/atom
excess energy over the best structure of this formula in the dataset = 0.1189 eV per atom
calculated total energy = -26.53 eV per cell
V = 116.0 Å³/cell
space group = No. 225
magnetic moment = 0.0 μB/cell



Record 12
A relaxed structure of Y3Sc5, computed with GGA-PBEsol.

a b c (Å): 4.7157 6.6328 6.6328
angles (deg): 91.06 90.00 90.00
Last column: nearest neighbours and their distance in Å.
Element x y z (fractional)
Sc  0.5000  0.2473  0.2473  6 Y 3.27-3.37, 6 Sc 3.29-3.34
Sc  0.0000  0.0000  0.0000  8 Sc 3.29-3.32, 4 Y 3.31
Sc  0.5000  0.7527  0.7527  6 Y 3.27-3.37, 6 Sc 3.29-3.34
Sc  0.0000  0.5000  0.0000  6 Y 3.31-3.32, 6 Sc 3.32-3.34
Sc  0.0000  0.0000  0.5000  6 Y 3.31-3.32, 6 Sc 3.32-3.34
Y  0.5000  0.2452  0.7548  10 Sc 3.27-3.37, 2 Y 3.37
Y  0.0000  0.5000  0.5000  8 Sc 3.32-3.33, 4 Y 3.37
Y  0.5000  0.7548  0.2452  10 Sc 3.27-3.37, 2 Y 3.37

ΔE_f = 60 meV/atom
calculated total energy = -53.01 eV per cell
V = 207.4 Å³/cell
space group = No. 65
magnetic moment = 0.0 μB/cell



Record 13
A relaxed structure of Y3Sc, computed with GGA-PBEsol.

a b c (Å): 3.5137 5.4505 6.0719
angles (deg): 90.00 90.00 90.00
Last column: nearest neighbours and their distance in Å.
Element x y z (fractional)
Y  0.5000  0.0000  0.4976  8 Y 3.40-3.51, 4 Sc 3.48-3.53
Y  0.0000  0.5000  0.3294  2 Sc 3.37, 10 Y 3.40-3.55
Y  0.5000  0.5000  0.8374  4 Sc 3.39, 8 Y 3.42-3.55
Sc  0.0000  0.0000  0.0022  10 Y 3.37-3.53, 2 Sc 3.51

ΔE_f = 29 meV/atom
excess energy over the best structure of this formula in the dataset = 0.0112 eV per atom
calculated total energy = -26.96 eV per cell
V = 116.3 Å³/cell
space group = No. 25
magnetic moment = 0.0 μB/cell



Record 14
A relaxed structure of YSc, computed with GGA-PBEsol.

a b c (Å): 3.3318 5.2792 6.3454
angles (deg): 90.00 105.22 90.00
Last column: nearest neighbours and their distance in Å.
Element x y z (fractional)
Y  0.5684  0.7500  0.1367  4 Y 3.13-3.33, 7 Sc 3.13-3.43
Y  0.4316  0.2500  0.8633  4 Y 3.13-3.33, 7 Sc 3.13-3.43
Sc  0.8240  0.7500  0.6479  7 Y 3.13-3.43, 2 Sc 3.33
Sc  0.1760  0.2500  0.3521  7 Y 3.13-3.43, 2 Sc 3.33

ΔE_f = 99 meV/atom
excess energy over the best structure of this formula in the dataset = 0.0754 eV per atom
calculated total energy = -26.46 eV per cell
V = 107.7 Å³/cell
space group = No. 63
magnetic moment = 0.0 μB/cell



Record 15
A relaxed structure of Y3Sc, computed with GGA-PBEsol.

a b c (Å): 3.4505 4.8124 6.8846
angles (deg): 90.00 90.00 90.00
Last column: nearest neighbours and their distance in Å.
Element x y z (fractional)
Y  0.5000  0.5000  0.2434  8 Y 3.35-3.53, 4 Sc 3.40
Y  0.0000  0.0000  0.5000  2 Sc 3.44, 10 Y 3.45
Y  0.5000  0.5000  0.7566  8 Y 3.35-3.53, 4 Sc 3.40
Sc  0.0000  0.0000  0.0000  10 Y 3.40-3.44, 2 Sc 3.45

ΔE_f = 47 meV/atom
excess energy over the best structure of this formula in the dataset = 0.0292 eV per atom
calculated total energy = -26.88 eV per cell
V = 114.3 Å³/cell
space group = No. 47
magnetic moment = 0.0 μB/cell



Record 16
A relaxed structure of YSc, computed with GGA-PBEsol.

a b c (Å): 4.7559 4.7559 5.8152
angles (deg): 114.14 114.14 90.00
Last column: nearest neighbours and their distance in Å.
Element x y z (fractional)
Y  0.7500  0.2500  0.5000  4 Y 3.36, 8 Sc 3.36
Y  0.5000  0.5000  0.0000  4 Y 3.36, 8 Sc 3.36
Sc  0.0000  0.0000  0.0000  4 Sc 3.36, 8 Y 3.36
Sc  0.2500  0.7500  0.5000  4 Sc 3.36, 8 Y 3.36

ΔE_f = 60 meV/atom
excess energy over the best structure of this formula in the dataset = 0.0365 eV per atom
calculated total energy = -26.61 eV per cell
V = 107.3 Å³/cell
space group = No. 141
magnetic moment = 0.0 μB/cell



Record 17
A relaxed structure of YSc5, computed with GGA-PBEsol.

a b c (Å): 3.2714 3.2714 13.7573
angles (deg): 90.00 90.00 90.00
Last column: nearest neighbours and their distance in Å.
Element x y z (fractional)
Y  0.5000  0.5000  0.5000  4 Y 3.27, 8 Sc 3.36
Sc  0.5000  0.5000  0.1617  12 Sc 3.21-3.27
Sc  0.0000  0.0000  0.6770  8 Sc 3.21-3.27, 4 Y 3.36
Sc  0.0000  0.0000  0.0000  12 Sc 3.21-3.27
Sc  0.0000  0.0000  0.3230  8 Sc 3.21-3.27, 4 Y 3.36
Sc  0.5000  0.5000  0.8383  12 Sc 3.21-3.27

ΔE_f = 57 meV/atom
excess energy over the best structure of this formula in the dataset = 0.0394 eV per atom
calculated total energy = -39.51 eV per cell
V = 147.2 Å³/cell
space group = No. 123
magnetic moment = 0.0 μB/cell



Record 18
A relaxed structure of YSc, computed with GGA-PBEsol.

a b c (Å): 3.4063 3.4063 4.6167
angles (deg): 90.00 90.00 90.03
Last column: nearest neighbours and their distance in Å.
Element x y z (fractional)
Sc  0.0000  0.0000  0.0000  8 Y 3.34, 4 Sc 3.41
Y  0.5000  0.5000  0.5000  8 Sc 3.34, 4 Y 3.41

ΔE_f = 56 meV/atom
excess energy over the best structure of this formula in the dataset = 0.0323 eV per atom
calculated total energy = -13.32 eV per cell
V = 53.6 Å³/cell
space group = No. 123
magnetic moment = 0.0 μB/cell



Record 19
A relaxed structure of Y5Sc, computed with GGA-PBEsol.

a b c (Å): 3.5380 6.5286 8.2113
angles (deg): 102.34 90.00 105.72
Last column: nearest neighbours and their distance in Å.
Element x y z (fractional)
Y  0.6666  0.3332  0.3304  10 Y 3.35-3.60, 2 Sc 3.53
Y  0.3354  0.6708  0.6742  10 Y 3.41-3.60, 2 Sc 3.47
Y  0.7180  0.4360  0.9473  9 Y 3.35-3.54, 3 Sc 3.37-3.47
Y  0.3923  0.7847  0.2704  2 Sc 3.36, 10 Y 3.37-3.56
Y  0.0549  0.1098  0.6128  1 Sc 3.39, 11 Y 3.41-3.56
Sc  0.9994  0.9988  0.9983  10 Y 3.36-3.53, 2 Sc 3.54

ΔE_f = 19 meV/atom
calculated total energy = -40.60 eV per cell
V = 178.0 Å³/cell
space group = No. 8
magnetic moment = 0.0 μB/cell



Record 20
A relaxed structure of YSc, computed with GGA-PBEsol.

a b c (Å): 3.4401 5.3333 5.9172
angles (deg): 90.00 90.00 90.00
Last column: nearest neighbours and their distance in Å.
Element x y z (fractional)
Y  0.0000  0.5000  0.9132  6 Sc 3.31-3.45, 6 Y 3.34-3.44
Y  0.5000  0.0000  0.0868  6 Sc 3.31-3.45, 6 Y 3.34-3.44
Sc  0.0000  0.0000  0.5813  6 Y 3.31-3.45, 6 Sc 3.32-3.44
Sc  0.5000  0.5000  0.4187  6 Y 3.31-3.45, 6 Sc 3.32-3.44

ΔE_f = 42 meV/atom
excess energy over the best structure of this formula in the dataset = 0.0179 eV per atom
calculated total energy = -26.69 eV per cell
V = 108.6 Å³/cell
space group = No. 59
magnetic moment = 0.0 μB/cell